[1]
## TlAg2TeBr (GGA-PBE)

Data for an optimized crystal structure of TlAg2TeBr.

Lattice parameters (Å, degrees): 5.2367 6.2549 5.2367 90.00 90.00 90.00
Last column: nearest neighbours and their distance in Å.
Sites, in units of the cell vectors:
Tl: 0.5000 0.5000 0.5000  4 Te 3.70, 8 Ag 4.08
Te: 0.0000 0.5000 0.0000  2 Br 3.13
Br: 0.0000 0.0000 0.0000  4 Ag 2.62
Ag: 0.0000 0.0000 0.5000  2 Br 2.62
Ag: 0.5000 0.0000 0.0000  2 Br 2.62

Properties
magnetization: 0.000 μB per formula unit
raw formation energy: 0.39 eV/atom
SG: P4/mmm

=====

[2]
## Tl2AgTeBr6 (GGA-PBE)

Data for an optimized crystal structure of Tl2AgTeBr6.

Lattice parameters (Å, degrees): 8.0324 7.8947 11.5153 90.00 90.00 90.00
Last column: nearest neighbours and their distance in Å.
Sites, in units of the cell vectors:
Tl: 0.5000 0.7956 0.1872  5 Br 3.35-3.53
Tl: 0.0000 0.2044 0.6872  5 Br 3.35-3.53
Tl: 0.5000 0.7956 0.8128  5 Br 3.35-3.53
Tl: 0.0000 0.2044 0.3128  5 Br 3.35-3.53
Ag: 0.0000 0.7284 0.5000  6 Br 2.71-3.02
Ag: 0.5000 0.2716 0.0000  6 Br 2.71-3.02
Te: 0.5000 0.2374 0.5000  6 Br 2.76-2.95
Te: 0.0000 0.7626 0.0000  6 Br 2.76-2.95
Br: 0.5000 0.2298 0.2608  1 Te 2.76, 1 Ag 3.02
Br: 0.5000 0.2298 0.7392  1 Te 2.76, 1 Ag 3.02
Br: 0.0000 0.7702 0.2392  1 Te 2.76, 1 Ag 3.02
Br: 0.0000 0.7702 0.7608  1 Te 2.76, 1 Ag 3.02
Br: 0.2329 0.9814 0.5000  1 Ag 2.74, 1 Te 2.95
Br: 0.7671 0.9814 0.5000  1 Ag 2.74, 1 Te 2.95
Br: 0.2263 0.4738 0.5000  1 Ag 2.71, 1 Te 2.88
Br: 0.7737 0.4738 0.5000  1 Ag 2.71, 1 Te 2.88
Br: 0.7263 0.5262 0.0000  1 Ag 2.71, 1 Te 2.88
Br: 0.2737 0.5262 0.0000  1 Ag 2.71, 1 Te 2.88
Br: 0.2671 0.0186 0.0000  1 Ag 2.74, 1 Te 2.95
Br: 0.7329 0.0186 0.0000  1 Ag 2.74, 1 Te 2.95

Properties
magnetization: 0.000 μB per formula unit
raw formation energy: -0.48 eV/atom
SG: Pmmn

=====

[3]
## TlAg2TeBr (GGA-PBE)

Data for an optimized crystal structure of TlAg2TeBr.

Lattice parameters (Å, degrees): 4.6247 7.8478 8.9571 105.10 90.00 90.00
Last column: nearest neighbours and their distance in Å.
Sites, in units of the cell vectors:
Tl: 0.2500 0.9248 0.2489  3 Te 3.41, 2 Ag 3.50-3.63, 3 Br 3.59-3.66
Tl: 0.7500 0.0752 0.7511  3 Te 3.41, 2 Ag 3.50-3.63, 3 Br 3.59-3.66
Ag: 0.7500 0.5143 0.6905  1 Te 2.75, 3 Br 2.85-2.92
Ag: 0.2500 0.4857 0.3095  1 Te 2.75, 3 Br 2.85-2.92
Ag: 0.7500 0.4438 0.0712  3 Te 2.84-2.98, 4 Ag 2.89-3.11
Ag: 0.2500 0.5562 0.9288  3 Te 2.84-2.98, 4 Ag 2.89-3.11
Te: 0.2500 0.2267 0.0349  4 Ag 2.75-2.98
Te: 0.7500 0.7733 0.9651  4 Ag 2.75-2.98
Br: 0.2500 0.3168 0.5642  3 Ag 2.85-2.92
Br: 0.7500 0.6832 0.4358  3 Ag 2.85-2.92

Properties
magnetization: 0.000 μB per formula unit
raw formation energy: -0.28 eV/atom
SG: P2_1/m